VASP calculation (PBE-GGA) on a geometry-optimized Cs5Rb4Na2 structure.

**V**: 91.897 Å³/atom
**SG**: C2/m (12)
**Magnetic moment**: 0.000 μB per atom
**Distance to the lowest polymorph of the same formula**: 0.000 kcal/mol of atoms
**ΔE_f**: 0.03 eV per atom
**Density of states at the Fermi level**: 10.8 states/eV/f.u.

```
Cs5Rb4Na2
1.0
23.705 -2.535 0.000
23.705 2.535 0.000
-0.654 0.000 8.410
Cs Rb Na
5 4 2
Cartesian
0.000 0.000 0.000
13.325 0.000 7.589
18.202 0.000 8.056
28.555 0.000 0.353
33.432 0.000 0.821
7.003 0.000 4.785
20.962 0.000 4.035
25.795 0.000 4.375
39.754 0.000 3.625
12.478 0.000 3.346
34.279 0.000 5.064
```



VASP calculation (PBE-GGA) on a geometry-optimized CsRb2Na structure.

**V**: 84.905 Å³/atom
**SG**: R3m (160)
**Magnetic moment**: 0.000 μB per atom
**Distance to the lowest polymorph of the same formula**: 0.958 kcal/mol of atoms
**ΔE_f**: 0.06 eV per atom
**Density of states at the Fermi level**: 3.5 states/eV/f.u.

```
CsRb2Na
1.0
2.605 1.504 14.451
-2.605 1.504 14.451
0.000 -3.008 14.451
Cs Rb Na
1 2 1
Cartesian
0.000 0.000 0.000
0.000 0.000 24.579
0.000 0.000 33.215
0.000 0.000 7.217
```



VASP calculation (PBE-GGA) on a geometry-optimized CsRb2Na structure.

**V**: 82.649 Å³/atom
**SG**: Cmcm (63)
**Magnetic moment**: 0.000 μB per atom
**Distance to the lowest polymorph of the same formula**: 0.030 kcal/mol of atoms
**ΔE_f**: 0.02 eV per atom
**Density of states at the Fermi level**: 3.5 states/eV/f.u.

```
CsRb2Na
1.0
3.026 -8.151 0.000
3.026 8.151 0.000
0.000 0.000 13.405
Cs Rb Na
2 4 2
Cartesian
3.026 7.197 10.054
3.026 -7.197 3.351
3.026 2.358 7.433
3.026 2.358 12.674
3.026 -2.358 0.731
3.026 -2.358 5.972
3.026 4.282 3.351
3.026 -4.282 10.054
```



VASP calculation (PBE-GGA) on a geometry-optimized Cs5Rb4Na4 structure.

**V**: 81.502 Å³/atom
**SG**: I4/m (87)
**Magnetic moment**: 0.000 μB per atom
**ΔE_f**: 0.02 eV per atom
**Density of states at the Fermi level**: 11.8 states/eV/f.u.

```
Cs5Rb4Na4
1.0
-8.937 8.937 3.316
8.937 -8.937 3.316
8.937 8.937 -3.316
Cs Rb Na
5 4 4
Cartesian
0.000 0.000 0.000
6.744 5.386 0.000
3.552 -2.193 3.316
5.386 11.131 0.000
2.193 3.552 3.316
10.593 1.949 0.000
1.949 7.282 0.000
6.988 1.656 3.316
-1.656 6.988 3.316
4.312 1.263 0.000
7.674 -4.626 3.316
1.263 13.563 0.000
4.626 7.674 3.316
```